DFT (PBE) results for NdFe3H6 after structural relaxation.

Results
Density   6.38 Mg/m³
Symmetry   R3
Calculated total energy   -5.10 eV per atom

abc: 4.730 4.730 5.069
angles: 89.99 117.81 120.00
Each line ends with the local moment (μB).
Positions (direct):
Nd  0.789  0.894  0.683  -0.10
H  0.342  0.430  0.753  -0.01
H  0.323  0.913  0.753  -0.01
H  0.840  0.411  0.753  -0.01
H  0.473  0.418  0.215  -0.01
H  0.797  0.055  0.215  -0.01
H  0.160  0.743  0.215  -0.01
Fe  0.671  0.335  0.006  2.21
Fe  0.260  0.130  0.391  2.34
Fe  0.344  0.672  0.016  1.46